No. 1
Material: KNi3As3
Method: DFT, GGA-PBE
State: relaxed

Cell and atoms, written as CIF:
```
data_KNi3As3
_chemical_formula_sum 'K6 Ni18 As18'
_symmetry_space_group_name_H-M 'R -3'
_symmetry_Int_Tables_number 148
_symmetry_space_group_name_Hall '-R 3'
_cell_length_a 6.6893
_cell_length_b 6.6893
_cell_length_c 23.8552
_cell_angle_alpha 90.00
_cell_angle_beta 90.00
_cell_angle_gamma 120.00
loop_
_atom_site_label
_atom_site_type_symbol
_atom_site_fract_x
_atom_site_fract_y
_atom_site_fract_z
K1 K 0.0000 0.0000 0.1665
Ni1 Ni 0.0013 0.3398 0.6326
As1 As 0.0012 0.3253 0.3956
```

---

No. 2
Material: KNi6As4
Method: DFT, GGA-PBE
State: relaxed

Cell and atoms, written as CIF:
```
data_KNi6As4
_chemical_formula_sum 'K2 Ni12 As8'
_symmetry_space_group_name_H-M 'I 4/m m m'
_symmetry_Int_Tables_number 139
_symmetry_space_group_name_Hall '-I 4 2'
_cell_length_a 3.864
_cell_length_b 3.864
_cell_length_c 24.625
_cell_angle_alpha 90.00
_cell_angle_beta 90.00
_cell_angle_gamma 90.00
loop_
_atom_site_label
_atom_site_type_symbol
_atom_site_fract_x
_atom_site_fract_y
_atom_site_fract_z
K1 K 0.000 0.000 0.000
Ni1 Ni 0.000 0.500 0.138
Ni2 Ni 0.000 0.500 0.250
As1 As 0.000 0.000 0.194
As2 As 0.000 0.000 0.417
```

---

Here are the calculated E_form numbers, same order: -0.289, -0.283 (eV/atom).